Entry 1:
Entry from Alexandria: a relaxed HoAg4F7 crystal (PBE).

Values from the calculation:
The raw total energy comes out at -52.47 eV/cell. The value obtained for the formation energy from raw total energies is -1949 meV per atom.

Cell lengths 4.235, 5.793, 8.680 Å; angles 98.77, 104.12, 90.00 degrees
Element x y z (fractional)
Ho (0.000, 0.000, 0.000)
Ag (0.405, 0.472, 0.810)
Ag (0.595, 0.528, 0.190)
Ag (0.273, 0.771, 0.546)
Ag (0.727, 0.229, 0.454)
F (0.106, 0.269, 0.212)
F (0.894, 0.731, 0.788)
F (0.926, 0.274, 0.851)
F (0.074, 0.726, 0.149)
F (0.724, 0.774, 0.449)
F (0.500, 0.000, 0.000)
F (0.276, 0.226, 0.551)

---

Entry 2:
Entry from Alexandria: a relaxed HoAg3F6 crystal (PBE).

Values from the calculation:
The raw total energy comes out at -92.75 eV/cell. The value obtained for the formation energy from raw total energies is -2202 meV per atom.

Cell lengths 7.304, 7.304, 7.304 Å; angles 91.00, 91.00, 91.00 degrees
Element x y z (fractional)
Ho (0.500, 0.500, 0.500)
Ho (0.000, 0.000, 0.000)
Ag (0.464, 0.036, 0.750)
Ag (0.036, 0.750, 0.464)
Ag (0.750, 0.464, 0.036)
Ag (0.964, 0.250, 0.536)
Ag (0.250, 0.536, 0.964)
Ag (0.536, 0.964, 0.250)
F (0.987, 0.702, 0.019)
F (0.702, 0.019, 0.987)
F (0.019, 0.987, 0.702)
F (0.487, 0.519, 0.202)
F (0.519, 0.202, 0.487)
F (0.202, 0.487, 0.519)
F (0.013, 0.298, 0.981)
F (0.298, 0.981, 0.013)
F (0.981, 0.013, 0.298)
F (0.513, 0.481, 0.798)
F (0.481, 0.798, 0.513)
F (0.798, 0.513, 0.481)

---

Entry 3:
Entry from Alexandria: a relaxed HoAg6F12 crystal (PBE).

Values from the calculation:
The raw total energy comes out at -76.84 eV/cell. The value obtained for the formation energy from raw total energies is -1721 meV per atom.

Cell lengths 6.909, 6.909, 6.909 Å; angles 100.78, 100.78, 100.78 degrees
Each line ends with the local moment (μB).
Element x y z (fractional)
Ho (0.000, 0.000, 0.000)  0.02
Ag (0.143, 0.309, 0.605)  0.33
Ag (0.691, 0.395, 0.857)  0.33
Ag (0.395, 0.857, 0.691)  0.33
Ag (0.857, 0.691, 0.395)  0.33
Ag (0.309, 0.605, 0.143)  0.33
Ag (0.605, 0.143, 0.309)  0.33
F (0.415, 0.173, 0.630)  0.14
F (0.173, 0.630, 0.415)  0.14
F (0.630, 0.415, 0.173)  0.14
F (0.585, 0.827, 0.370)  0.14
F (0.827, 0.370, 0.585)  0.14
F (0.370, 0.585, 0.827)  0.14
F (0.023, 0.911, 0.688)  0.04
F (0.312, 0.977, 0.089)  0.04
F (0.089, 0.312, 0.977)  0.04
F (0.977, 0.089, 0.312)  0.04
F (0.688, 0.023, 0.911)  0.04
F (0.911, 0.688, 0.023)  0.04

---

Entry 4:
Entry from Alexandria: a relaxed KHoAgF6 crystal (PBE).

Values from the calculation:
The raw total energy comes out at -45.04 eV/cell. The value obtained for the formation energy from raw total energies is -2810 meV per atom.

Cell lengths 6.208, 5.948, 5.432 Å; angles 89.17, 88.39, 58.54 degrees
Each line ends with the local moment (μB).
Element x y z (fractional)
K (0.006, 0.988, 0.000)  0.00
Ho (0.674, 0.651, 0.500)  0.00
Ag (0.335, 0.331, 0.500)  0.60
F (0.965, 0.381, 0.259)  0.01
F (0.364, 0.002, 0.704)  0.12
F (0.654, 0.381, 0.741)  0.01
F (0.995, 0.632, 0.692)  0.10
F (0.374, 0.632, 0.308)  0.10
F (0.634, 0.002, 0.296)  0.12

---

Entry 5:
Entry from Alexandria: a relaxed K3HoAg2F9 crystal (PBE).

Values from the calculation:
The raw total energy comes out at -69.10 eV/cell. The value obtained for the formation energy from raw total energies is -2579 meV per atom.

Cell lengths 6.343, 6.343, 7.956 Å; angles 90.00, 90.00, 120.00 degrees
Each line ends with the local moment (μB).
Element x y z (fractional)
K (0.333, 0.667, 0.735)  0.00
K (0.000, 0.000, 0.000)  0.00
K (0.667, 0.333, 0.265)  0.00
Ho (0.000, 0.000, 0.500)  0.02
Ag (0.333, 0.667, 0.171)  0.34
Ag (0.667, 0.333, 0.829)  0.34
F (0.844, 0.156, 0.665)  0.02
F (0.844, 0.687, 0.665)  0.02
F (0.313, 0.156, 0.665)  0.02
F (0.687, 0.844, 0.335)  0.02
F (0.156, 0.313, 0.335)  0.02
F (0.156, 0.844, 0.335)  0.02
F (0.500, 0.000, 0.000)  0.10
F (0.000, 0.500, 0.000)  0.10
F (0.500, 0.500, 0.000)  0.10

---

Entry 6:
Entry from Alexandria: a relaxed KHo2AgF8 crystal (PBE).

Values from the calculation:
The raw total energy comes out at -68.85 eV/cell. The value obtained for the formation energy from raw total energies is -3398 meV per atom.

Cell lengths 3.851, 6.116, 7.683 Å; angles 90.04, 90.00, 89.99 degrees
Each line ends with the local moment (μB).
Element x y z (fractional)
K (0.000, 0.000, 0.500)  0.00
Ho (0.500, 0.500, 0.751)  0.00
Ho (0.500, 0.500, 0.249)  0.00
Ag (0.000, 0.000, 0.000)  0.09
F (0.000, 0.706, 0.245)  0.00
F (0.500, 0.709, 0.000)  0.00
F (0.000, 0.293, 0.245)  0.00
F (0.000, 0.294, 0.755)  0.00
F (0.500, 0.291, 0.000)  0.00
F (0.000, 0.707, 0.755)  0.00
F (0.500, 0.704, 0.500)  0.00
F (0.500, 0.296, 0.500)  0.00